Entry 1:
The following is a DFT calculation (PBE) of a geometry-optimized ZrPPb structure.

Computed properties:
* density of states at the Fermi level: 0.923 states/eV per atom
* energy of formation: -0.23 eV per atom
* volume: 24.1 A^3/atom
* polymorph energy (0 for the lowest one): 339.0 meV/atom
* crystal system: trigonal

Cell: 3.6370 3.6370 6.3194 Å, 90.00 90.00 120.00°
Closest atoms and distances in Å follow each position.
Sites, in units of the cell vectors:
Zr1 0.0000 0.0000 0.0000  3 P 2.55
P1 0.3333 0.6667 0.2288  3 Zr 2.55
Pb1 0.6667 0.3333 0.6036  3 P 3.17, 3 Zr 3.27

---

Entry 2:
The following is a DFT calculation (PBE) of a geometry-optimized BePOs structure.

Computed properties:
* density of states at the Fermi level: 0.584 states/eV per atom
* energy of formation: -0.17 eV per atom
* volume: 11.4 A^3/atom
* polymorph energy (0 for the lowest one): 0.0 meV/atom
* crystal system: tetragonal

Cell: 3.0438 3.0438 7.4009 Å, 90.00 90.00 90.00°
Closest atoms and distances in Å follow each position.
Sites, in units of the cell vectors:
Be1 0.0000 0.0000 0.0000  5 P 2.45-2.53, 5 Os 2.45-2.49
Be2 0.5000 0.5000 0.5000  5 P 2.45-2.53, 5 Os 2.45-2.49
P1 0.0000 0.0000 0.6587  5 Os 2.42-2.50, 5 Be 2.45-2.53
P2 0.5000 0.5000 0.1587  5 Os 2.42-2.50, 5 Be 2.45-2.53
Os1 0.0000 0.0000 0.3315  5 P 2.42-2.50, 5 Be 2.45-2.49
Os2 0.5000 0.5000 0.8315  5 P 2.42-2.50, 5 Be 2.45-2.49

---

Entry 3:
The following is a DFT calculation (PBE) of a geometry-optimized La2GaNi4 structure.

Computed properties:
* density of states at the Fermi level: 0.664 states/eV per atom
* energy of formation: -0.04 eV per atom
* volume: 20.5 A^3/atom
* crystal system: tetragonal

Cell: 4.4438 4.4438 14.5238 Å, 90.00 90.00 90.00°
Closest atoms and distances in Å follow each position.
Sites, in units of the cell vectors:
La1 0.0000 0.0000 0.1447  9 Ni 2.85-3.15
La2 0.0000 0.0000 0.8553  9 Ni 2.85-3.15
La3 0.5000 0.5000 0.3553  9 Ni 2.85-3.15
La4 0.5000 0.5000 0.6447  9 Ni 2.85-3.15
Ga1 0.0000 0.0000 0.5000  6 Ni 2.22-2.31
Ga2 0.5000 0.5000 0.0000  6 Ni 2.22-2.31
Ni1 0.0000 0.0000 0.3407  1 Ga 2.31
Ni2 0.0000 0.0000 0.6593  1 Ga 2.31
Ni3 0.0000 0.5000 0.0000  2 Ga 2.22
Ni4 0.0000 0.5000 0.5000  2 Ga 2.22
Ni5 0.5000 0.0000 0.0000  2 Ga 2.22
Ni6 0.5000 0.0000 0.5000  2 Ga 2.22
Ni7 0.5000 0.5000 0.1593  1 Ga 2.31
Ni8 0.5000 0.5000 0.8407  1 Ga 2.31

---

Entry 4:
The following is a DFT calculation (PBE) of a geometry-optimized Nd6Ga2I3Cl structure.

Computed properties:
* density of states at the Fermi level: 0.587 states/eV per atom
* uncorrected formation energy: -924.8 meV per atom
* volume: 30.9 A^3/atom
* crystal system: monoclinic

Cell: 7.4255 7.4255 8.1596 Å, 98.73 98.73 120.14°
Closest atoms and distances in Å follow each position.
Sites, in units of the cell vectors:
Nd1 0.0954 0.4323 0.7975  2 Ga 2.92, 1 Cl 2.96
Nd2 0.2296 0.2296 0.2019  2 Ga 2.92, 1 Cl 2.96
Nd3 0.4323 0.0954 0.7975  2 Ga 2.92, 1 Cl 2.96
Nd4 0.5677 0.9046 0.2025  2 Ga 2.92, 1 Cl 2.96
Nd5 0.7704 0.7704 0.7981  2 Ga 2.92, 1 Cl 2.96
Nd6 0.9046 0.5677 0.2025  2 Ga 2.92, 1 Cl 2.96
Ga1 0.1667 0.8333 0.0000  6 Nd 2.92
Ga2 0.8333 0.1667 0.0000  6 Nd 2.92
I1 0.0000 0.0000 0.5000  6 Nd 3.37-3.40
I2 0.3311 0.6689 0.5000  6 Nd 3.35-3.42
I3 0.6689 0.3311 0.5000  6 Nd 3.35-3.42
Cl1 0.5000 0.5000 0.0000  6 Nd 2.96